# BaAlTc2, single point on PBEsol structure, DFT SCAN
data_BaAlTc2
_space_group_name_H-M_alt 'R -3 m'
_space_group_IT_number 166
_space_group_name_Hall '-R 3 2"'
_cell_length_a 4.3798
_cell_length_b 4.3798
_cell_length_c 17.8791
_cell_angle_alpha 90.00
_cell_angle_beta 90.00
_cell_angle_gamma 120.00
loop_
_atom_site_label
_atom_site_fract_x
_atom_site_fract_y
_atom_site_fract_z
Ba1 0.0000 0.0000 0.0000
Al1 0.0000 0.0000 0.5000
Tc1 0.0000 0.0000 0.1806
# Uncorrected energy: -29.288 eV/atom
# DOS at the Fermi energy: 0.73 states/eV/atom
# ΔH_f (0 K): 67 meV per atom

# BaAlTe2, single point on PBEsol structure, DFT SCAN
data_BaAlTe2
_space_group_name_H-M_alt 'P 4 m m'
_space_group_IT_number 99
_cell_length_a 4.341
_cell_length_b 4.341
_cell_length_c 7.553
_cell_angle_alpha 90.00
_cell_angle_beta 90.00
_cell_angle_gamma 90.00
loop_
_space_group_symop_operation_xyz
'x,y,z'
'-y,x,z'
'-x,-y,z'
'y,-x,z'
'-x,y,z'
'y,x,z'
'x,-y,z'
'-y,-x,z'
loop_
_atom_site_label
_atom_site_fract_x
_atom_site_fract_y
_atom_site_fract_z
Ba1 0.000 0.000 0.000
Al1 0.500 0.500 0.518
Te1 0.000 0.000 0.551
Te2 0.500 0.500 0.162
# ΔE_f (raw): -326 kJ/mol of formula units
# Uncorrected energy: -31.295 eV/atom
# DOS at the Fermi energy: 0.19 states/eV/atom

Question: Among the records above, which one has the highest uncorrected energy?
Answer: BaAlTc2

Question: What is the DOS at the Fermi energy in the second record?
Answer: 0.19 states/eV/atom

Question: Which of these has the lowest uncorrected energy?
Answer: BaAlTe2

Question: Look up the uncorrected energy of the first one.
Answer: -29.288 eV/atom